[1]
DFT (PBE) results for a geometry-optimized RbTlPtO structure.

It has space group Cmc2_1 (No. 36), with a = 5.592 Å, b = 15.917 Å, c = 5.403 Å, α = 90.00°, β = 90.00° and γ = 90.00°. The distinct sites, in fractional coordinates, are Rb at (0.000, 0.104, 0.000), Tl at (0.000, 0.340, 0.996), Pt at (0.000, 0.497, 0.725) and O at (0.000, 0.403, 0.465).

The electronic total energy is -4.097 eV per atom. The volume is 30.1 Å³/atom.



[2]
DFT (PBE) results for a geometry-optimized Rb2YPtO6 structure.

It has space group Fm-3m (No. 225), with a = 8.334 Å, b = 8.334 Å, c = 8.334 Å, α = 90.00°, β = 90.00° and γ = 90.00°. The distinct sites, in fractional coordinates, are Rb at (0.250, 0.250, 0.250), Y at (0.000, 0.000, 0.000), Pt at (0.000, 0.000, 0.500) and O at (0.000, 0.000, 0.267).

The electronic total energy is -5.829 eV per atom. The volume is 14.5 Å³/atom.



[3]
DFT (PBE) results for a geometry-optimized Re2Pt2O5 structure.

It has space group P4/mmm (No. 123), with a = 3.839 Å, b = 3.839 Å, c = 7.364 Å, α = 90.00°, β = 90.00° and γ = 90.00°. The distinct sites, in fractional coordinates, are Re at (0.000, 0.000, 0.224), Pt at (0.500, 0.500, 0.000), Pt at (0.500, 0.500, 0.500), O at (0.000, 0.000, 0.500) and O at (0.000, 0.500, 0.239).

As for the distance to the lowest polymorph of the same formula: 0.0 meV/atom. The electronic total energy is -6.870 eV per atom. The volume is 12.1 Å³/atom.



[4]
DFT (PBE) results for a geometry-optimized Re2Pt2O5 structure.

It has space group P4/mmm (No. 123), with a = 3.361 Å, b = 3.361 Å, c = 8.410 Å, α = 90.00°, β = 90.00° and γ = 90.00°. The distinct sites, in fractional coordinates, are Re at (0.000, 0.000, 0.000), Re at (0.000, 0.000, 0.500), Pt at (0.500, 0.500, 0.158), O at (0.000, 0.500, 0.333) and O at (0.500, 0.500, 0.500).

As for the distance to the lowest polymorph of the same formula: 317.7 meV/atom. The electronic total energy is -6.552 eV per atom. The volume is 10.6 Å³/atom.



[5]
DFT (PBE) results for a geometry-optimized Re2PtO4 structure.

It has space group Fd-3m (No. 227, origin choice 2), with a = 8.872 Å, b = 8.872 Å, c = 8.872 Å, α = 90.00°, β = 90.00° and γ = 90.00°. The distinct sites, in fractional coordinates, are Re at (0.000, 0.000, 0.000), Pt at (0.125, 0.125, 0.625) and O at (0.018, 0.018, 0.232).

As for the distance to the lowest polymorph of the same formula: 0.0 meV/atom. The electronic total energy is -7.504 eV per atom. The volume is 12.5 Å³/atom.



[6]
DFT (PBE) results for a geometry-optimized Re2PtO4 structure.

It has space group I4/mmm (No. 139), with a = 4.054 Å, b = 4.054 Å, c = 12.203 Å, α = 90.00°, β = 90.00° and γ = 90.00°. The distinct sites, in fractional coordinates, are Re at (0.000, 0.000, 0.124), Pt at (0.000, 0.000, 0.500), O at (0.000, 0.000, 0.266) and O at (0.000, 0.500, 0.000).

As for the distance to the lowest polymorph of the same formula: 927.7 meV/atom. The electronic total energy is -6.576 eV per atom. The volume is 14.3 Å³/atom.



[7]
DFT (PBE) results for a geometry-optimized Sr2RePtO6 structure.

It has space group I4/m (No. 87), with a = 5.345 Å, b = 5.345 Å, c = 9.249 Å, α = 90.00°, β = 90.00° and γ = 90.00°. The distinct sites, in fractional coordinates, are Sr at (0.000, 0.500, 0.250), Re at (0.000, 0.000, 0.000), Pt at (0.000, 0.000, 0.500), O at (0.000, 0.000, 0.208) and O at (0.168, 0.682, 0.000).

As for the distance to the lowest polymorph of the same formula: 0.0 meV/atom. The electronic total energy is -6.986 eV per atom. The volume is 13.2 Å³/atom.



[8]
DFT (PBE) results for a geometry-optimized Sr2RePtO6 structure.

It has space group C2/m (No. 12), with a = 10.890 Å, b = 5.653 Å, c = 5.306 Å, α = 90.00°, β = 119.03° and γ = 90.00°. The distinct sites, in fractional coordinates, are Sr at (0.185, 0.000, 0.186), Re at (0.000, 0.500, 0.000), Pt at (0.000, 0.500, 0.500), O at (0.001, 0.234, 0.757) and O at (0.200, 0.500, 0.202).

As for the distance to the lowest polymorph of the same formula: 89.1 meV/atom. The electronic total energy is -6.897 eV per atom. The volume is 14.3 Å³/atom.